The following is a GGA-PBE calculation of crystalline Pr4Cu3Ir at its relaxed geometry, from Alexandria. Values from VASP.

Results
E_form: -0.305 eV/atom
size of the total moment: 0.0 μB/f.u.

Cell and atoms, written as Quantum ESPRESSO input:
```
&SYSTEM
  ibrav = 0, nat = 8, ntyp = 3
/
ATOMIC_SPECIES
Pr 140.91 Pr.upf
Cu 63.55 Cu.upf
Ir 192.22 Ir.upf
CELL_PARAMETERS angstrom
3.992 0.000 0.000
0.000 4.511 0.000
0.000 0.000 10.800
ATOMIC_POSITIONS angstrom
Pr 0.000 0.000 0.000
Pr 0.000 2.255 2.923
Pr 1.996 0.000 5.232
Pr 1.996 2.255 8.345
Cu 0.000 0.000 7.500
Cu 0.000 2.255 6.104
Cu 1.996 2.255 0.674
Ir 1.996 0.000 2.263
```

The following is a GGA-PBE calculation of crystalline Pr2CuSb4Ir3 at its relaxed geometry, from Alexandria. Values from VASP.

Results
raw formation energy: -579 meV/atom
size of the total moment: 0.0 μB/f.u.

Cell and atoms, written as Quantum ESPRESSO input:
```
&SYSTEM
  ibrav = 0, nat = 10, ntyp = 4
/
ATOMIC_SPECIES
Pr 140.91 Pr.upf
Cu 63.55 Cu.upf
Sb 121.76 Sb.upf
Ir 192.22 Ir.upf
CELL_PARAMETERS angstrom
4.596 0.000 0.000
0.000 4.596 0.000
0.000 0.000 10.467
ATOMIC_POSITIONS angstrom
Pr 0.000 2.298 2.539
Pr 2.298 0.000 7.929
Cu 2.298 2.298 0.000
Sb 0.000 0.000 5.234
Sb 0.000 2.298 9.116
Sb 2.298 0.000 1.351
Sb 2.298 2.298 5.234
Ir 0.000 0.000 0.000
Ir 0.000 2.298 6.513
Ir 2.298 0.000 3.954
```

The following is a GGA-PBE calculation of crystalline PrScCuIr at its relaxed geometry, from Alexandria. Values from VASP.

Results
E_form: -0.430 eV/atom
size of the total moment: 0.0 μB/f.u.

Cell and atoms, written as Quantum ESPRESSO input:
```
&SYSTEM
  ibrav = 0, nat = 4, ntyp = 4
/
ATOMIC_SPECIES
Pr 140.91 Pr.upf
Sc 44.96 Sc.upf
Cu 63.55 Cu.upf
Ir 192.22 Ir.upf
CELL_PARAMETERS angstrom
0.000 3.435 3.435
3.435 0.000 3.435
3.435 3.435 0.000
ATOMIC_POSITIONS angstrom
Pr 0.000 0.000 0.000
Sc 3.435 3.435 3.435
Cu 5.153 5.153 5.153
Ir 1.718 1.718 1.718
```

The following is a GGA-PBE calculation of crystalline Pr2CuSi4Ir3 at its relaxed geometry, from Alexandria. Values from VASP.

Results
raw formation energy: -872 meV/atom
size of the total moment: 0.0 μB/f.u.

Cell and atoms, written as Quantum ESPRESSO input:
```
&SYSTEM
  ibrav = 0, nat = 10, ntyp = 4
/
ATOMIC_SPECIES
Pr 140.91 Pr.upf
Cu 63.55 Cu.upf
Si 28.09 Si.upf
Ir 192.22 Ir.upf
CELL_PARAMETERS angstrom
4.218 0.000 0.000
0.000 4.218 0.000
0.000 0.000 9.888
ATOMIC_POSITIONS angstrom
Pr 0.000 2.109 2.428
Pr 2.109 0.000 7.460
Cu 0.000 0.000 4.944
Si 0.000 0.000 0.000
Si 0.000 2.109 6.230
Si 2.109 0.000 3.658
Si 2.109 2.109 0.000
Ir 0.000 2.109 8.654
Ir 2.109 0.000 1.235
Ir 2.109 2.109 4.944
```

The following is a GGA-PBE calculation of crystalline PrSmCuIr at its relaxed geometry, from Alexandria. Values from VASP.

Results
E_form: -0.466 eV/atom
size of the total moment: 0.0 μB/f.u.
excess energy over the best structure of this formula in the dataset: 0 meV/atom

Cell and atoms, written as Quantum ESPRESSO input:
```
&SYSTEM
  ibrav = 0, nat = 4, ntyp = 4
/
ATOMIC_SPECIES
Pr 140.91 Pr.upf
Sm 150.36 Sm.upf
Cu 63.55 Cu.upf
Ir 192.22 Ir.upf
CELL_PARAMETERS angstrom
4.402 0.000 0.000
0.000 1.988 5.365
0.000 -1.988 5.365
ATOMIC_POSITIONS angstrom
Pr 0.000 0.000 0.000
Sm 2.201 0.000 7.757
Cu 2.201 0.000 4.616
Ir 0.000 0.000 3.028
```

The following is a GGA-PBE calculation of crystalline PrSmCuIr at its relaxed geometry, from Alexandria. Values from VASP.

Results
E_form: -0.418 eV/atom
size of the total moment: 0.0 μB/f.u.
excess energy over the best structure of this formula in the dataset: 48 meV/atom

Cell and atoms, written as Quantum ESPRESSO input:
```
&SYSTEM
  ibrav = 0, nat = 4, ntyp = 4
/
ATOMIC_SPECIES
Pr 140.91 Pr.upf
Sm 150.36 Sm.upf
Cu 63.55 Cu.upf
Ir 192.22 Ir.upf
CELL_PARAMETERS angstrom
0.000 3.558 3.558
3.558 0.000 3.558
3.558 3.558 0.000
ATOMIC_POSITIONS angstrom
Pr 0.000 0.000 0.000
Sm 3.558 3.558 3.558
Cu 1.779 1.779 1.779
Ir 5.336 5.336 5.336
```